Ti2ReP2 | Alexandria | GGA-PBE | optimized geometry; final energy = -86.59 eV per cell; size of the total moment = 0.00 μB per cell; polymorph energy (0 for the lowest one) = 0.000 eV per atom
1.0
6.353 0.000 0.000
0.000 6.353 0.000
0.000 0.000 3.441
Ti Re P
4 2 4
Direct
0.159 0.341 0.000
0.341 0.841 0.000
0.659 0.159 0.000
0.841 0.659 0.000
0.000 0.000 0.500
0.500 0.500 0.500
0.141 0.641 0.500
0.359 0.141 0.500
0.641 0.859 0.500
0.859 0.359 0.500


ZrTl2Pt | Alexandria | GGA-PBE | optimized geometry; final energy = -19.14 eV per cell; size of the total moment = 0.00 μB per cell; polymorph energy (0 for the lowest one) = 0.325 eV per atom
1.0
0.000 3.485 3.485
3.485 0.000 3.485
3.485 3.485 0.000
Zr Tl Pt
1 2 1
Direct
0.000 0.000 0.000
0.250 0.250 0.250
0.750 0.750 0.750
0.500 0.500 0.500


Na2Tl6Ga | Alexandria | GGA-PBE | optimized geometry; final energy = -19.98 eV per cell; size of the total moment = 0.00 μB per cell; polymorph energy (0 for the lowest one) = 0.026 eV per atom
1.0
7.947 -1.701 0.000
7.947 1.701 0.000
-6.426 0.000 9.609
Na Tl Ga
2 6 1
Direct
0.155 0.155 0.294
0.845 0.845 0.706
0.119 0.119 0.555
0.276 0.276 0.895
0.452 0.452 0.240
0.548 0.548 0.760
0.724 0.724 0.105
0.881 0.881 0.445
0.500 0.500 0.000


Ba4NaLi | Alexandria | GGA-PBE | optimized geometry; final energy = -10.75 eV per cell; size of the total moment = 0.00 μB per cell; polymorph energy (0 for the lowest one) = 0.000 eV per atom
1.0
-4.645 4.645 3.686
4.645 -4.645 3.686
4.645 4.645 -3.686
Ba Na Li
4 1 1
Direct
0.088 0.588 0.176
0.412 0.912 0.824
0.588 0.412 0.500
0.912 0.088 0.500
0.500 0.500 0.000
0.000 0.000 0.000